Here is a geometry-optimized HgPH2Se4 structure from Alexandria via LeMat-Bulk. Energies are from PBE.

```
data_HgPH2Se4
_chemical_formula_sum 'Hg1 P1 H2 Se4'
_space_group_name_H-M_alt 'P 1'
_space_group_IT_number 1
_space_group_name_Hall 'P 1'
_cell_length_a 7.215
_cell_length_b 6.940
_cell_length_c 5.611
_cell_angle_alpha 69.25
_cell_angle_beta 64.10
_cell_angle_gamma 46.65
loop_
_atom_site_label
_atom_site_fract_x
_atom_site_fract_y
_atom_site_fract_z
Hg1 0.000 0.000 0.000
P1 0.488 0.488 0.512
H1 0.121 0.121 0.379
H2 0.621 0.621 0.879
Se1 0.145 0.585 0.855
Se2 0.396 0.859 0.141
Se3 0.585 0.145 0.415
Se4 0.859 0.396 0.604
```

Results
* calculated volume: 22.893 Å³/atom
* final energy: -3.1413 eV/atom
* density: 4982 kg/m³